Entry from Alexandria: a geometry-optimized Cs4Tb3NdSe8 structure (GGA-PBE).

Cell: 8.6299 8.6299 25.1685 Å, 90.00 90.00 120.00°
Space group R-3m (No. 166, hexagonal axes)
Inequivalent atoms, fractional coordinates:
1 Cs 0.0000 0.0000 0.0000 x3
2 Cs 0.0000 0.5000 0.0000 x9
3 Tb 0.0000 0.5000 0.5000 x9
4 Nd 0.0000 0.0000 0.5000 x3
5 Se 0.0000 0.0000 0.2285 x6
6 Se 0.0062 0.5031 0.7708 x18

Calculated values
Formation energy (no corrections) (meV per atom): -1729

Entry from Alexandria: a geometry-optimized Cs4TbNd3Se8 structure (GGA-PBE).

Cell: 8.7489 8.7489 25.2132 Å, 90.00 90.00 120.00°
Space group R-3m (No. 166, hexagonal axes)
Inequivalent atoms, fractional coordinates:
1 Cs 0.0000 0.0000 0.0000 x3
2 Cs 0.0000 0.5000 0.0000 x9
3 Tb 0.0000 0.0000 0.5000 x3
4 Nd 0.0000 0.5000 0.5000 x9
5 Se 0.0000 0.0000 0.2305 x6
6 Se 0.0062 0.5031 0.2296 x18

Calculated values
Formation energy (no corrections) (meV per atom): -1727

Entry from Alexandria: a geometry-optimized Cs2TbNdSe4 structure (GGA-PBE).

Cell: 7.528 4.345 8.760 Å, 90.00 106.62 90.00°
Space group P2/m (No. 10)
Inequivalent atoms, fractional coordinates:
1 Cs 0.000 0.000 0.000 x1
2 Cs 0.500 0.500 0.000 x1
3 Tb 0.000 0.500 0.500 x1
4 Nd 0.500 0.000 0.500 x1
5 Se 0.223 0.000 0.687 x2
6 Se 0.264 0.500 0.310 x2

Calculated values
Formation energy (no corrections) (meV per atom): -1728

Entry from Alexandria: a geometry-optimized Cs2Nd2Te2Se structure (GGA-PBE).

Cell: 5.629 5.629 19.077 Å, 90.00 90.00 90.00°
Space group I4/mmm (No. 139)
Inequivalent atoms, fractional coordinates:
1 Cs 0.000 0.000 0.185 x4
2 Nd 0.000 0.500 0.000 x4
3 Te 0.000 0.000 0.395 x4
4 Se 0.000 0.000 0.000 x2

Calculated values
Formation energy (no corrections) (meV per atom): -1193

Entry from Alexandria: a geometry-optimized Cs2NdThSe4 structure (GGA-PBE).

Cell: 7.532 4.359 8.822 Å, 90.00 106.53 90.00°
Space group P2/m (No. 10)
Inequivalent atoms, fractional coordinates:
1 Cs 0.000 0.000 0.000 x1
2 Cs 0.500 0.500 0.000 x1
3 Nd 0.000 0.500 0.500 x1
4 Th 0.500 0.000 0.500 x1
5 Se 0.237 0.000 0.693 x2
6 Se 0.274 0.500 0.307 x2

Calculated values
Formation energy (no corrections) (meV per atom): -1628